(1)
DFT (PBE) results for a geometry-optimized Nd2Ho8Mg structure.

```
data_Nd2Ho8Mg
_chemical_formula_sum 'Nd2 Ho8 Mg1'
_space_group_name_H-M_alt 'P 1'
_space_group_IT_number 1
_cell_length_a 9.613
_cell_length_b 9.613
_cell_length_c 9.613
_cell_angle_alpha 146.72
_cell_angle_beta 133.15
_cell_angle_gamma 58.68
loop_
_space_group_symop_operation_xyz
'x,y,z'
loop_
_atom_site_label
_atom_site_fract_x
_atom_site_fract_y
_atom_site_fract_z
Nd1 0.195 0.195 0.000
Nd2 0.805 0.805 0.000
Ho1 0.089 0.364 0.724
Ho2 0.234 0.000 0.234
Ho3 0.325 0.825 0.500
Ho4 0.360 0.636 0.724
Ho5 0.640 0.364 0.276
Ho6 0.675 0.175 0.500
Ho7 0.766 0.000 0.766
Ho8 0.911 0.636 0.276
Mg1 0.500 0.500 0.000
```

Output
density: 7.68 g/cm3
energy: -4.2307 eV/atom
DFT formation energy: 0.11 eV/atom
polymorph energy (0 for the lowest one): 0.000 eV/atom
V: 32.06 Å³ per atom
SG: No. 71
D(E_F): 18.56 states/eV per cell


(2)
DFT (PBE) results for a geometry-optimized Nd2Ho2Mg structure.

```
data_Nd2Ho2Mg
_chemical_formula_sum 'Nd2 Ho2 Mg1'
_space_group_name_H-M_alt 'P 1'
_space_group_IT_number 1
_cell_length_a 9.358
_cell_length_b 9.358
_cell_length_c 9.358
_cell_angle_alpha 152.76
_cell_angle_beta 152.76
_cell_angle_gamma 38.91
loop_
_space_group_symop_operation_xyz
'x,y,z'
loop_
_atom_site_label
_atom_site_fract_x
_atom_site_fract_y
_atom_site_fract_z
Nd1 0.093 0.093 0.000
Nd2 0.907 0.907 0.000
Ho1 0.250 0.750 0.500
Ho2 0.750 0.250 0.500
Mg1 0.500 0.500 0.000
```

Output
density: 6.23 g/cm3
energy: -3.7089 eV/atom
DFT formation energy: 0.35 eV/atom
polymorph energy (0 for the lowest one): 0.350 eV/atom
V: 34.29 Å³ per atom
SG: No. 139
D(E_F): 6.96 states/eV per cell


(3)
DFT (PBE) results for a geometry-optimized Nd3Ho3Mg structure.

```
data_Nd3Ho3Mg
_chemical_formula_sum 'Nd6 Ho6 Mg2'
_space_group_name_H-M_alt 'P 1'
_space_group_IT_number 1
_cell_length_a 14.491
_cell_length_b 14.491
_cell_length_c 14.491
_cell_angle_alpha 24.85
_cell_angle_beta 24.85
_cell_angle_gamma 24.85
loop_
_space_group_symop_operation_xyz
'x,y,z'
loop_
_atom_site_label
_atom_site_fract_x
_atom_site_fract_y
_atom_site_fract_z
Nd1 0.065 0.398 0.732
Nd2 0.268 0.935 0.602
Nd3 0.398 0.732 0.065
Nd4 0.602 0.268 0.935
Nd5 0.732 0.065 0.398
Nd6 0.935 0.602 0.268
Ho1 0.133 0.800 0.466
Ho2 0.200 0.534 0.867
Ho3 0.466 0.133 0.800
Ho4 0.534 0.867 0.200
Ho5 0.800 0.466 0.133
Ho6 0.867 0.200 0.534
Mg1 0.333 0.333 0.333
Mg2 0.667 0.667 0.667
```

Output
density: 6.69 g/cm3
energy: -4.1480 eV/atom
DFT formation energy: 0.09 eV/atom
polymorph energy (0 for the lowest one): 0.071 eV/atom
V: 33.76 Å³ per atom
SG: No. 148
D(E_F): 19.48 states/eV per cell